# 1
Compound: TaFe3Br
Source: the Alexandria database
Functional: PBE-GGA
Structure: relaxed

The value obtained for the mass density is 9.0 g/cm³. The crystal system is cubic. As for the uncorrected formation energy: 1.30 eV per atom.

It has space group Pm-3m (No. 221), with a = 4.2918 Å, b = 4.2918 Å, c = 4.2918 Å, α = 90.00°, β = 90.00° and γ = 90.00°. The asymmetric unit holds Ta at (0.0000, 0.0000, 0.0000), Fe at (0.0000, 0.5000, 0.5000) and Br at (0.5000, 0.5000, 0.5000).

# 2
Compound: TmH5Pd4
Source: the Alexandria database
Functional: PBE-GGA
Structure: relaxed

The value obtained for the mass density is 9.0 g/cm³. The crystal system is orthorhombic. The energy is -4.46 eV/atom.

It has space group Pmmn (No. 59, origin choice 2), with a = 5.4871 Å, b = 7.9948 Å, c = 5.0226 Å, α = 90.00°, β = 90.00° and γ = 90.00°. The asymmetric unit holds Tm at (0.2500, 0.2500, 0.1537), H at (0.0228, 0.5737, 0.1643), H at (0.2500, 0.7500, 0.6451), Pd at (0.0077, 0.7500, 0.3766) and Pd at (0.2500, 0.5621, 0.8735).

# 3
Compound: NdGa2Tc
Source: the Alexandria database
Functional: PBE-GGA
Structure: relaxed

The value obtained for the mass density is 7.6 g/cm³. The crystal system is trigonal. For the energy of formation from the pure elements, the calculation gives -286 meV/atom.

It has space group R-3m (No. 166, hexagonal axes), with a = 4.2824 Å, b = 4.2824 Å, c = 15.6973 Å, α = 90.00°, β = 90.00° and γ = 120.00°. The asymmetric unit holds Nd at (0.0000, 0.0000, 0.0000), Ga at (0.0000, 0.0000, 0.2134) and Tc at (0.0000, 0.0000, 0.5000).

# 4
Compound: PmEr2PaP4
Source: the Alexandria database
Functional: PBE-GGA
Structure: relaxed

The value obtained for the mass density is 7.6 g/cm³. The crystal system is monoclinic. For the energy of formation from the pure elements, the calculation gives -1524 meV/atom.

It has space group P2/m (No. 10), with a = 6.9002 Å, b = 4.0097 Å, c = 6.9474 Å, α = 90.00°, β = 109.50° and γ = 90.00°. The asymmetric unit holds Pm at (0.0000, 0.0000, 0.0000), Er at (0.5000, 0.0000, 0.5000), Er at (0.5000, 0.5000, 0.0000), Pa at (0.0000, 0.5000, 0.5000), P at (0.2516, 0.0000, 0.7445) and P at (0.2542, 0.5000, 0.2599).

# 5
Compound: CoCuOs2
Source: the Alexandria database
Functional: PBE-GGA
Structure: relaxed

The value obtained for the mass density is 16.1 g/cm³. The crystal system is tetragonal. For the energy of formation from the pure elements, the calculation gives 244 meV/atom.

It has space group P4mm (No. 99), with a = 2.6994 Å, b = 2.6994 Å, c = 7.0972 Å, α = 90.00°, β = 90.00° and γ = 90.00°. The asymmetric unit holds Co at (0.0000, 0.0000, 0.0000), Cu at (0.5000, 0.5000, 0.2332), Os at (0.0000, 0.0000, 0.4955) and Os at (0.5000, 0.5000, 0.7587).

# 6
Compound: ScZn2Co4
Source: the Alexandria database
Functional: PBE-GGA
Structure: relaxed

The value obtained for the mass density is 7.4 g/cm³. The crystal system is orthorhombic. For the energy of formation from the pure elements, the calculation gives -85 meV/atom.

It has space group Immm (No. 71), with a = 4.8198 Å, b = 6.1842 Å, c = 6.2320 Å, α = 90.00°, β = 90.00° and γ = 90.00°. The asymmetric unit holds Sc at (0.0000, 0.0000, 0.0000), Zn at (0.2504, 0.0000, 0.5000) and Co at (0.0000, 0.3139, 0.3142).

# 7
Compound: Zn4Cu2Au5
Source: the Alexandria database
Functional: PBE-GGA
Structure: relaxed

The value obtained for the mass density is 12.2 g/cm³. The crystal system is monoclinic. For the energy of formation from the pure elements, the calculation gives 9 meV/atom.

It has space group C2/m (No. 12), with a = 19.0688 Å, b = 2.7765 Å, c = 7.4260 Å, α = 90.00°, β = 108.24° and γ = 90.00°. The asymmetric unit holds Zn at (0.0684, 0.0000, 0.2914), Zn at (0.1856, 0.5000, 0.5000), Cu at (0.0552, 0.0000, 0.9414), Au at (0.0000, 0.5000, 0.5000), Au at (0.1514, 0.5000, 0.8141) and Au at (0.1947, 0.0000, 0.1873).

# 8
Compound: Ba2Sr2Ca4Ac
Source: the Alexandria database
Functional: PBE-GGA
Structure: relaxed

The value obtained for the mass density is 3.2 g/cm³. The crystal system is triclinic. For the energy of formation from the pure elements, the calculation gives 50 meV/atom.

It has space group P-1 (No. 2), with a = 6.5886 Å, b = 7.6877 Å, c = 10.1158 Å, α = 81.00°, β = 71.02° and γ = 64.68°. The asymmetric unit holds Ba at (0.2294, 0.4285, 0.1125), Sr at (0.1158, 0.2085, 0.5592), Ca at (0.3394, 0.6593, 0.6624), Ca at (0.4479, 0.8806, 0.2240) and Ac at (0.0000, 0.0000, 0.0000).